# 1
DFT (GGA+U) results for crystalline PuVO4 at its relaxed geometry.

Cell and atoms, written as POSCAR:
```
PuVO4
1.0
-3.464 3.464 3.198
3.464 -3.464 3.198
3.464 3.464 -3.198
Pu V O
2 2 8
direct
0.000 0.000 0.000
0.750 0.250 0.500
0.257 0.757 0.500
0.507 0.507 0.000
0.014 0.328 0.313
0.014 0.701 0.687
0.078 0.264 0.813
0.451 0.264 0.187
0.492 0.188 0.697
0.492 0.795 0.303
0.545 0.742 0.803
0.938 0.742 0.197
```

Calculated values
The total energy is -9.4290 eV/atom. The crystal system is tetragonal.

***

# 2
DFT (GGA+U) results for crystalline PuVO4 at its relaxed geometry.

Cell and atoms, written as POSCAR:
```
PuVO4
1.0
5.465 -2.677 0.000
5.465 2.677 0.000
-1.818 0.000 4.868
Pu V O
2 2 8
direct
0.000 0.500 0.000
0.500 0.000 0.500
0.189 0.811 0.750
0.811 0.189 0.250
0.044 0.179 0.617
0.179 0.044 0.117
0.281 0.461 0.766
0.461 0.281 0.266
0.539 0.719 0.734
0.719 0.539 0.234
0.821 0.956 0.883
0.956 0.821 0.383
```

Calculated values
The total energy is -9.4030 eV/atom. The crystal system is monoclinic.

***

# 3
DFT (GGA+U) results for crystalline Pu2VO8 at its relaxed geometry.

Cell and atoms, written as POSCAR:
```
Pu2VO8
1.0
8.898 -2.949 0.000
8.898 2.949 0.000
-0.031 0.000 4.136
Pu V O
2 1 8
direct
0.170 0.170 0.498
0.830 0.830 0.502
0.091 0.909 0.500
0.172 0.167 0.998
0.179 0.659 0.500
0.341 0.821 0.500
0.444 0.073 0.501
0.765 0.087 0.505
0.833 0.828 0.002
0.913 0.235 0.495
0.927 0.556 0.499
```

Calculated values
The total energy is -9.0152 eV/atom. The crystal system is monoclinic.